1.
VASP calculation (GGA-PBE) on crystalline AlGaTcO6 at its relaxed geometry.

POSCAR file:
```
AlGaTcO6
1.0
4.9247 0.0000 0.0000
-2.4624 4.2649 0.0000
0.0000 0.0000 8.6967
Al Ga Tc O
2 2 2 12
Direct
0.3333 0.6667 0.2500
0.6667 0.3333 0.7500
0.0000 0.0000 0.0000
0.0000 0.0000 0.5000
0.3333 0.6667 0.7500
0.6667 0.3333 0.2500
0.0046 0.3459 0.1309
0.0046 0.6587 0.3691
0.3413 0.3459 0.3691
0.3413 0.9954 0.1309
0.3459 0.0046 0.6309
0.3459 0.3413 0.8691
0.6541 0.6587 0.1309
0.6541 0.9954 0.3691
0.6587 0.0046 0.8691
0.6587 0.6541 0.6309
0.9954 0.3413 0.6309
0.9954 0.6541 0.8691
```

Results
Calculated volume, Å³ per atom: 10.15
Calculated density, Mg/m³: 5.29
Crystal system: trigonal
Uncorrected formation energy, eV per formula unit: -16.10


2.
VASP calculation (GGA-PBE) on crystalline TmAlGa2O6 at its relaxed geometry.

POSCAR file:
```
TmAlGa2O6
1.0
2.5800 1.4896 4.6323
-2.5800 1.4896 4.6323
0.0000 -2.9792 4.6323
Tm Al Ga O
1 1 2 6
Direct
0.0000 0.0000 0.0000
0.5169 0.5169 0.5169
0.2154 0.2154 0.2154
0.7256 0.7256 0.7256
0.1244 0.4353 0.7934
0.3447 0.9104 0.5727
0.4353 0.7934 0.1244
0.5727 0.3447 0.9104
0.7934 0.1244 0.4353
0.9104 0.5727 0.3447
```

Results
Calculated volume, Å³ per atom: 10.68
Calculated density, Mg/m³: 6.71
Crystal system: trigonal
Uncorrected formation energy, eV per formula unit: -25.17


3.
VASP calculation (GGA-PBE) on crystalline UAlGaO6 at its relaxed geometry.

POSCAR file:
```
UAlGaO6
1.0
5.1432 0.0000 0.0000
-2.5716 4.4542 0.0000
0.0000 0.0000 8.7450
U Al Ga O
2 2 2 12
Direct
0.3333 0.6667 0.2500
0.6667 0.3333 0.7500
0.0000 0.0000 0.0000
0.0000 0.0000 0.5000
0.3333 0.6667 0.7500
0.6667 0.3333 0.2500
0.0109 0.3258 0.6248
0.0109 0.6850 0.8752
0.3150 0.3258 0.8752
0.3150 0.9891 0.6248
0.3258 0.0109 0.1248
0.3258 0.3150 0.3752
0.6742 0.6850 0.6248
0.6742 0.9891 0.8752
0.6850 0.0109 0.3752
0.6850 0.6742 0.1248
0.9891 0.3150 0.1248
0.9891 0.6742 0.3752
```

Results
Calculated volume, Å³ per atom: 11.13
Calculated density, Mg/m³: 7.14
Crystal system: trigonal
Uncorrected formation energy, eV per formula unit: -22.59